# TaFeRe2H, optimized geometry, DFT PBE
# * offset from the most stable computed form: 0 meV/atom
# * space group: No. 123
data_TaFeRe2H
_symmetry_space_group_name_H-M 'P 1'
_symmetry_Int_Tables_number 1
_cell_length_a 4.003
_cell_length_b 4.003
_cell_length_c 3.826
_cell_angle_alpha 90.00
_cell_angle_beta 90.00
_cell_angle_gamma 90.00
loop_
_symmetry_equiv_pos_as_xyz
'x,y,z'
loop_
_atom_site_label
_atom_site_fract_x
_atom_site_fract_y
_atom_site_fract_z
Re1 0.000 0.500 0.000
Re2 0.500 0.000 0.000
Fe1 0.000 0.000 0.500
H1 0.000 0.000 0.000
Ta1 0.500 0.500 0.500

# TaSiOs2, optimized geometry, DFT PBE
# * space group: No. 10
# * ΔE_f (raw): -0.161 eV per atom
data_TaSiOs2
_symmetry_space_group_name_H-M 'P 1'
_symmetry_Int_Tables_number 1
_cell_length_a 4.007
_cell_length_b 2.834
_cell_length_c 5.444
_cell_angle_alpha 75.30
_cell_angle_beta 90.00
_cell_angle_gamma 90.00
loop_
_symmetry_equiv_pos_as_xyz
'x,y,z'
loop_
_atom_site_label
_atom_site_fract_x
_atom_site_fract_y
_atom_site_fract_z
Os1 0.000 0.109 0.022
Os2 0.000 0.391 0.478
Si1 0.500 0.250 0.250
Ta1 0.500 0.750 0.750

# Gd2PtRh, optimized geometry, DFT PBE
# * ΔH_f (0 K): -3.96 eV/f.u.
# * space group: No. 123
data_Gd2PtRh
_symmetry_space_group_name_H-M 'P 1'
_symmetry_Int_Tables_number 1
_cell_length_a 3.491
_cell_length_b 3.491
_cell_length_c 6.997
_cell_angle_alpha 90.00
_cell_angle_beta 90.00
_cell_angle_gamma 90.00
loop_
_symmetry_equiv_pos_as_xyz
'x,y,z'
loop_
_atom_site_label
_atom_site_fract_x
_atom_site_fract_y
_atom_site_fract_z
Gd1 0.000 0.000 0.755
Gd2 0.000 0.000 0.245
Rh1 0.500 0.500 0.000
Pt1 0.500 0.500 0.500

# PuAlGe, optimized geometry, DFT PBE
# * ΔH_f (0 K): -1.18 eV/f.u.
# * space group: No. 12
data_PuAlGe
_symmetry_space_group_name_H-M 'P 1'
_symmetry_Int_Tables_number 1
_cell_length_a 4.331
_cell_length_b 5.708
_cell_length_c 5.975
_cell_angle_alpha 69.84
_cell_angle_beta 68.75
_cell_angle_gamma 67.70
loop_
_symmetry_equiv_pos_as_xyz
'x,y,z'
loop_
_atom_site_label
_atom_site_fract_x
_atom_site_fract_y
_atom_site_fract_z
Pu1 0.955 0.784 0.306
Pu2 0.045 0.216 0.694
Al1 0.341 0.222 0.096
Al2 0.659 0.778 0.904
Ge1 0.678 0.357 0.287
Ge2 0.322 0.643 0.713

# MgZn2Au, optimized geometry, DFT PBE
# * ΔH_f (0 K): -1.00 eV/f.u.
# * space group: No. 139
data_MgZn2Au
_symmetry_space_group_name_H-M 'P 1'
_symmetry_Int_Tables_number 1
_cell_length_a 4.875
_cell_length_b 4.875
_cell_length_c 4.875
_cell_angle_alpha 130.55
_cell_angle_beta 130.53
_cell_angle_gamma 72.55
loop_
_symmetry_equiv_pos_as_xyz
'x,y,z'
loop_
_atom_site_label
_atom_site_fract_x
_atom_site_fract_y
_atom_site_fract_z
Zn1 0.000 0.000 0.000
Zn2 0.500 0.500 0.000
Au1 0.750 0.250 0.500
Mg1 0.250 0.750 0.500

# Mn2GaN, optimized geometry, DFT PBE
# * space group: No. 8
# * ΔE_f (raw): -0.067 eV per atom
data_Mn2GaN
_symmetry_space_group_name_H-M 'P 1'
_symmetry_Int_Tables_number 1
_cell_length_a 5.974
_cell_length_b 3.820
_cell_length_c 9.561
_cell_angle_alpha 90.00
_cell_angle_beta 117.37
_cell_angle_gamma 90.00
loop_
_symmetry_equiv_pos_as_xyz
'x,y,z'
loop_
_atom_site_label
_atom_site_fract_x
_atom_site_fract_y
_atom_site_fract_z
Mn1 0.334 0.000 0.790
Mn2 0.334 0.500 0.290
Mn3 0.831 0.000 0.815
Mn4 0.831 0.500 0.315
Mn5 0.004 0.000 0.152
Mn6 0.004 0.500 0.652
Mn7 0.649 0.000 0.479
Mn8 0.649 0.500 0.979
Ga1 0.509 0.000 0.103
Ga2 0.509 0.500 0.603
Ga3 0.107 0.000 0.467
Ga4 0.107 0.500 0.967
N1 0.384 0.000 0.266
N2 0.384 0.500 0.766
N3 0.963 0.000 0.669
N4 0.963 0.500 0.169

# BaFe2Si, optimized geometry, DFT PBE
# * space group: No. 99
# * ΔE_f (raw): 0.282 eV per atom
data_BaFe2Si
_symmetry_space_group_name_H-M 'P 1'
_symmetry_Int_Tables_number 1
_cell_length_a 3.178
_cell_length_b 3.178
_cell_length_c 7.488
_cell_angle_alpha 90.00
_cell_angle_beta 90.00
_cell_angle_gamma 90.00
loop_
_symmetry_equiv_pos_as_xyz
'x,y,z'
loop_
_atom_site_label
_atom_site_fract_x
_atom_site_fract_y
_atom_site_fract_z
Ba1 0.500 0.500 0.749
Fe1 0.000 0.000 0.094
Fe2 0.500 0.500 0.249
Si1 0.000 0.000 0.408

# PmInSb2, optimized geometry, DFT PBE
# * offset from the most stable computed form: 0 meV/atom
# * space group: No. 12
# * ΔE_f (raw): -0.545 eV per atom
data_PmInSb2
_symmetry_space_group_name_H-M 'P 1'
_symmetry_Int_Tables_number 1
_cell_length_a 4.402
_cell_length_b 4.402
_cell_length_c 12.076
_cell_angle_alpha 90.10
_cell_angle_beta 90.10
_cell_angle_gamma 89.89
loop_
_symmetry_equiv_pos_as_xyz
'x,y,z'
loop_
_atom_site_label
_atom_site_fract_x
_atom_site_fract_y
_atom_site_fract_z
Pm1 0.999 0.999 0.795
Pm2 0.001 0.001 0.205
In1 0.241 0.759 0.500
In2 0.759 0.241 0.500
Sb1 0.501 0.501 0.287
Sb2 0.499 0.499 0.713
Sb3 0.500 0.000 0.000
Sb4 0.000 0.500 0.000

For the records above, the corresponding theoretical density values read 16.53; 16.37; 11.93; 9.23; 8.94; 6.64; 6.08; 7.14 g/cm³.
For the records above, the corresponding E values read -9.67; -10.09; -11.38; -7.96; -2.11; -7.49; -5.79; -4.48 eV per atom.